(1)
Material: La4CoNi2
Method: DFT, GGA-PBE
State: optimized geometry

Structure (CIF):
```
data_La4CoNi2
_cell_length_a 13.743
_cell_length_b 4.403
_cell_length_c 6.568
_cell_angle_alpha 90.00
_cell_angle_beta 114.60
_cell_angle_gamma 90.00
_space_group_name_H-M_alt 'C 1 2/m 1'
_space_group_IT_number 12
loop_
_space_group_symop_operation_xyz
'x,y,z'
'-x,-y,-z'
'-x,y,-z'
'x,-y,z'
'x+1/2,y+1/2,z'
'-x+1/2,-y+1/2,-z'
'-x+1/2,y+1/2,-z'
'x+1/2,-y+1/2,z'
loop_
_atom_site_label
_atom_site_type_symbol
_atom_site_fract_x
_atom_site_fract_y
_atom_site_fract_z
La1 La 0.097 0.000 0.286
La2 La 0.147 0.500 0.783
Co1 Co 0.000 0.500 0.000
Ni1 Ni 0.217 0.500 0.254
```

## Properties
Calculated total energy ... -5.671 eV per atom
Calculated formation energy ... -0.19 eV/atom



(2)
Material: La3CoNi2
Method: DFT, GGA-PBE
State: optimized geometry

Structure (CIF):
```
data_La3CoNi2
_cell_length_a 11.858
_cell_length_b 3.934
_cell_length_c 11.903
_cell_angle_alpha 90.00
_cell_angle_beta 90.00
_cell_angle_gamma 90.00
_space_group_name_H-M_alt 'P n m a'
_space_group_IT_number 62
loop_
_space_group_symop_operation_xyz
'x,y,z'
'-x,-y,-z'
'-x+1/2,-y,z+1/2'
'x+1/2,y,-z+1/2'
'x+1/2,-y+1/2,-z+1/2'
'-x+1/2,y+1/2,z+1/2'
'-x,y+1/2,-z'
'x,-y+1/2,z'
loop_
_atom_site_label
_atom_site_type_symbol
_atom_site_fract_x
_atom_site_fract_y
_atom_site_fract_z
La1 La 0.060 0.250 0.127
La2 La 0.120 0.750 0.558
La3 La 0.215 0.250 0.813
Co1 Co 0.124 0.250 0.374
Ni1 Ni 0.023 0.750 0.309
Ni2 Ni 0.187 0.750 0.992
```

## Properties
Calculated total energy ... -5.802 eV per atom
Calculated formation energy ... -0.23 eV/atom



(3)
Material: LaCoNi
Method: DFT, GGA-PBE
State: optimized geometry

Structure (CIF):
```
data_LaCoNi
_cell_length_a 4.0191
_cell_length_b 4.0191
_cell_length_c 4.0735
_cell_angle_alpha 90.00
_cell_angle_beta 90.00
_cell_angle_gamma 120.00
_space_group_name_H-M_alt 'P -6 m 2'
_space_group_IT_number 187
_space_group_name_Hall 'P -6 2'
loop_
_atom_site_label
_atom_site_type_symbol
_atom_site_fract_x
_atom_site_fract_y
_atom_site_fract_z
La1 La 0.0000 0.0000 0.0000
Co1 Co 0.3333 0.6667 0.5000
Ni1 Ni 0.6667 0.3333 0.5000
```

## Properties
Calculated total energy ... -6.106 eV per atom
Calculated formation energy ... -0.17 eV/atom



(4)
Material: La4Co3Ni
Method: DFT, GGA-PBE
State: optimized geometry

Structure (CIF):
```
data_La4Co3Ni
_cell_length_a 3.927
_cell_length_b 3.944
_cell_length_c 11.614
_cell_angle_alpha 90.00
_cell_angle_beta 90.00
_cell_angle_gamma 90.00
_space_group_name_H-M_alt 'P 1 m 1'
_space_group_IT_number 6
loop_
_space_group_symop_operation_xyz
'x,y,z'
'x,-y,z'
loop_
_atom_site_label
_atom_site_type_symbol
_atom_site_fract_x
_atom_site_fract_y
_atom_site_fract_z
La1 La 0.000 0.000 0.000
La2 La 0.000 0.500 0.270
La3 La 0.501 0.000 0.494
La4 La 0.501 0.500 0.771
Co1 Co 0.001 0.500 0.565
Co2 Co 0.500 0.000 0.198
Co3 Co 0.500 0.500 0.068
Ni1 Ni 0.001 0.000 0.698
```

## Properties
Calculated total energy ... -5.988 eV per atom
Calculated formation energy ... -0.14 eV/atom



(5)
Material: LaCo2Ni
Method: DFT, GGA-PBE
State: optimized geometry

Structure (CIF):
```
data_LaCo2Ni
_cell_length_a 3.968
_cell_length_b 3.968
_cell_length_c 7.915
_cell_angle_alpha 90.00
_cell_angle_beta 90.00
_cell_angle_gamma 90.00
_space_group_name_H-M_alt 'I 4/m m m'
_space_group_IT_number 139
_space_group_name_Hall '-I 4 2'
loop_
_atom_site_label
_atom_site_type_symbol
_atom_site_fract_x
_atom_site_fract_y
_atom_site_fract_z
La1 La 0.000 0.000 0.000
Co1 Co 0.000 0.500 0.250
Ni1 Ni 0.000 0.000 0.500
```

## Properties
Calculated total energy ... -5.942 eV per atom
Calculated formation energy ... 0.29 eV/atom



(6)
Material: LaCoNiP2
Method: DFT, GGA-PBE
State: optimized geometry

Structure (CIF):
```
data_LaCoNiP2
_cell_length_a 3.844
_cell_length_b 3.844
_cell_length_c 10.911
_cell_angle_alpha 90.00
_cell_angle_beta 90.00
_cell_angle_gamma 90.00
_space_group_name_H-M_alt 'I -4 m 2'
_space_group_IT_number 119
_space_group_name_Hall 'I -4 -2'
loop_
_atom_site_label
_atom_site_type_symbol
_atom_site_fract_x
_atom_site_fract_y
_atom_site_fract_z
La1 La 0.000 0.000 0.000
Co1 Co 0.000 0.500 0.250
Ni1 Ni 0.000 0.500 0.750
P1 P 0.000 0.000 0.356
```

## Properties
Calculated total energy ... -6.696 eV per atom
Calculated formation energy ... -0.97 eV/atom



(7)
Material: La2Co3NiP4
Method: DFT, GGA-PBE
State: optimized geometry

Structure (CIF):
```
data_La2Co3NiP4
_cell_length_a 4.053
_cell_length_b 4.053
_cell_length_c 9.279
_cell_angle_alpha 90.00
_cell_angle_beta 90.00
_cell_angle_gamma 90.00
_space_group_name_H-M_alt 'P -4 m 2'
_space_group_IT_number 115
loop_
_space_group_symop_operation_xyz
'x,y,z'
'y,-x,-z'
'-x,-y,z'
'-y,x,-z'
'-x,y,z'
'-y,-x,-z'
'x,-y,z'
'y,x,-z'
loop_
_atom_site_label
_atom_site_type_symbol
_atom_site_fract_x
_atom_site_fract_y
_atom_site_fract_z
La1 La 0.000 0.500 0.245
Co1 Co 0.000 0.500 0.891
Co2 Co 0.500 0.500 0.500
Ni1 Ni 0.000 0.000 0.500
P1 P 0.000 0.000 0.000
P2 P 0.000 0.500 0.634
P3 P 0.500 0.500 0.000
```

## Properties
Calculated total energy ... -6.838 eV per atom
Calculated formation energy ... -0.98 eV/atom



(8)
Material: La2CoNi3P4
Method: DFT, GGA-PBE
State: optimized geometry

Structure (CIF):
```
data_La2CoNi3P4
_cell_length_a 4.077
_cell_length_b 4.077
_cell_length_c 9.325
_cell_angle_alpha 90.00
_cell_angle_beta 90.00
_cell_angle_gamma 90.00
_space_group_name_H-M_alt 'P -4 m 2'
_space_group_IT_number 115
loop_
_space_group_symop_operation_xyz
'x,y,z'
'y,-x,-z'
'-x,-y,z'
'-y,x,-z'
'-x,y,z'
'-y,-x,-z'
'x,-y,z'
'y,x,-z'
loop_
_atom_site_label
_atom_site_type_symbol
_atom_site_fract_x
_atom_site_fract_y
_atom_site_fract_z
La1 La 0.000 0.500 0.248
Co1 Co 0.000 0.000 0.500
Ni1 Ni 0.000 0.500 0.887
Ni2 Ni 0.500 0.500 0.500
P1 P 0.000 0.000 0.000
P2 P 0.000 0.500 0.628
P3 P 0.500 0.500 0.000
```

## Properties
Calculated total energy ... -6.578 eV per atom
Calculated formation energy ... -0.98 eV/atom



(9)
Material: La6CoNiPb2
Method: DFT, GGA-PBE
State: optimized geometry

Structure (CIF):
```
data_La6CoNiPb2
_cell_length_a 7.577
_cell_length_b 7.577
_cell_length_c 10.912
_cell_angle_alpha 90.00
_cell_angle_beta 90.00
_cell_angle_gamma 90.00
_space_group_name_H-M_alt 'I 4/m m m'
_space_group_IT_number 139
_space_group_name_Hall '-I 4 2'
loop_
_atom_site_label
_atom_site_type_symbol
_atom_site_fract_x
_atom_site_fract_y
_atom_site_fract_z
La1 La 0.000 0.000 0.237
La2 La 0.239 0.239 0.500
Co1 Co 0.000 0.000 0.500
Ni1 Ni 0.000 0.000 0.000
Pb1 Pb 0.000 0.500 0.250
```

## Properties
Calculated total energy ... -5.366 eV per atom
Calculated formation energy ... -0.38 eV/atom



(10)
Material: LaCoNiPd2
Method: DFT, GGA-PBE
State: optimized geometry

Structure (CIF):
```
data_LaCoNiPd2
_cell_length_a 5.088
_cell_length_b 5.088
_cell_length_c 4.694
_cell_angle_alpha 90.00
_cell_angle_beta 90.00
_cell_angle_gamma 90.00
_space_group_name_H-M_alt 'P 4/m m m'
_space_group_IT_number 123
_space_group_name_Hall '-P 4 2'
loop_
_atom_site_label
_atom_site_type_symbol
_atom_site_fract_x
_atom_site_fract_y
_atom_site_fract_z
La1 La 0.000 0.000 0.000
Co1 Co 0.500 0.500 0.500
Ni1 Ni 0.000 0.000 0.500
Pd1 Pd 0.000 0.500 0.000
```

## Properties
Calculated total energy ... -4.265 eV per atom
Calculated formation energy ... 1.37 eV/atom



(11)
Material: La8CoNiPd2
Method: DFT, GGA-PBE
State: optimized geometry

Structure (CIF):
```
data_La8CoNiPd2
_cell_length_a 6.736
_cell_length_b 8.336
_cell_length_c 6.963
_cell_angle_alpha 90.00
_cell_angle_beta 91.17
_cell_angle_gamma 90.00
_space_group_name_H-M_alt 'P 1 2/m 1'
_space_group_IT_number 10
loop_
_space_group_symop_operation_xyz
'x,y,z'
'-x,-y,-z'
'-x,y,-z'
'x,-y,z'
loop_
_atom_site_label
_atom_site_type_symbol
_atom_site_fract_x
_atom_site_fract_y
_atom_site_fract_z
La1 La 0.144 0.000 0.264
La2 La 0.147 0.500 0.261
La3 La 0.356 0.259 0.727
Co1 Co 0.500 0.500 0.500
Ni1 Ni 0.500 0.000 0.500
Pd1 Pd 0.000 0.249 0.000
```

## Properties
Calculated total energy ... -5.507 eV per atom
Calculated formation energy ... -0.28 eV/atom



(12)
Material: LaPmCoNi
Method: DFT, GGA-PBE
State: optimized geometry

Structure (CIF):
```
data_LaPmCoNi
_cell_length_a 6.959
_cell_length_b 6.959
_cell_length_c 6.959
_cell_angle_alpha 90.00
_cell_angle_beta 90.00
_cell_angle_gamma 90.00
_space_group_name_H-M_alt 'F -4 3 m'
_space_group_IT_number 216
_space_group_name_Hall 'F -4 2 3'
loop_
_atom_site_label
_atom_site_type_symbol
_atom_site_fract_x
_atom_site_fract_y
_atom_site_fract_z
La1 La 0.000 0.000 0.000
Pm1 Pm 0.000 0.000 0.500
Co1 Co 0.250 0.250 0.250
Ni1 Ni 0.250 0.250 0.750
```

## Properties
Offset from the most stable computed form ... 94 meV/atom
Calculated total energy ... -5.750 eV per atom
Calculated formation energy ... -0.11 eV/atom